{
  "formula": "MnSn2HOs",
  "functional": "PBE",
  "state": "relaxed",
  "lattice_angstrom": [[4.583, 0.000, 0.000], [0.000, 4.583, 0.000], [0.000, 0.000, 3.395]],
  "species": ["Mn", "Sn", "Sn", "H", "Os"],
  "frac_coords": [[0.000, 0.000, 0.000], [0.000, 0.500, 0.500], [0.500, 0.000, 0.500], [0.500, 0.500, 0.500], [0.500, 0.500, 0.000]],
  "crystal_system": "tetragonal",
  "spacegroup": "No. 123"
}

---

{
  "formula": "Mn2SnHOs",
  "functional": "PBE",
  "state": "relaxed",
  "lattice_angstrom": [[3.970, 0.000, 0.000], [0.000, 3.970, 0.000], [0.000, 0.000, 3.939]],
  "species": ["Mn", "Mn", "Sn", "H", "Os"],
  "frac_coords": [[0.000, 0.500, 0.000], [0.500, 0.000, 0.000], [0.000, 0.000, 0.500], [0.500, 0.500, 0.000], [0.500, 0.500, 0.500]],
  "crystal_system": "tetragonal",
  "spacegroup": "No. 123"
}

---

{
  "formula": "Mn2TcHOs",
  "functional": "PBE",
  "state": "relaxed",
  "lattice_angstrom": [[3.773, 0.000, 0.000], [0.000, 3.773, 0.000], [0.000, 0.000, 3.772]],
  "species": ["Mn", "Mn", "Tc", "H", "Os"],
  "frac_coords": [[0.000, 0.500, 0.000], [0.500, 0.000, 0.000], [0.000, 0.000, 0.500], [0.500, 0.500, 0.000], [0.500, 0.500, 0.500]],
  "crystal_system": "tetragonal",
  "spacegroup": "No. 123"
}

---

{
  "formula": "Mn2TcHOs",
  "functional": "PBE",
  "state": "relaxed",
  "lattice_angstrom": [[3.754, 0.000, 0.000], [0.000, 3.754, 0.000], [0.000, 0.000, 3.793]],
  "species": ["Mn", "Mn", "Tc", "H", "Os"],
  "frac_coords": [[0.000, 0.500, 0.000], [0.500, 0.000, 0.000], [0.000, 0.000, 0.500], [0.000, 0.000, 0.000], [0.500, 0.500, 0.500]],
  "crystal_system": "tetragonal",
  "spacegroup": "No. 123"
}

---

{
  "formula": "MnVHOs2",
  "functional": "PBE",
  "state": "relaxed",
  "lattice_angstrom": [[3.895, 0.000, 0.000], [0.000, 3.895, 0.000], [0.000, 0.000, 3.717]],
  "species": ["Mn", "V", "H", "Os", "Os"],
  "frac_coords": [[0.000, 0.000, 0.000], [0.500, 0.500, 0.000], [0.000, 0.000, 0.500], [0.000, 0.500, 0.500], [0.500, 0.000, 0.500]],
  "crystal_system": "tetragonal",
  "spacegroup": "No. 123"
}

---

{
  "formula": "MnHOsW2",
  "functional": "PBE",
  "state": "relaxed",
  "lattice_angstrom": [[3.971, 0.000, 0.000], [0.000, 3.971, 0.000], [0.000, 0.000, 3.796]],
  "species": ["Mn", "H", "Os", "W", "W"],
  "frac_coords": [[0.000, 0.000, 0.000], [0.000, 0.000, 0.500], [0.500, 0.500, 0.000], [0.000, 0.500, 0.500], [0.500, 0.000, 0.500]],
  "crystal_system": "tetragonal",
  "spacegroup": "No. 123"
}

---

{
  "formula": "MnHOs2W",
  "functional": "PBE",
  "state": "relaxed",
  "lattice_angstrom": [[3.906, 0.000, 0.000], [0.000, 3.906, 0.000], [0.000, 0.000, 3.836]],
  "species": ["Mn", "H", "Os", "Os", "W"],
  "frac_coords": [[0.000, 0.000, 0.000], [0.000, 0.000, 0.500], [0.000, 0.500, 0.500], [0.500, 0.000, 0.500], [0.500, 0.500, 0.000]],
  "crystal_system": "tetragonal",
  "spacegroup": "No. 123"
}

---

{
  "formula": "Mn2ZnHOs",
  "functional": "PBE",
  "state": "relaxed",
  "lattice_angstrom": [[3.768, 0.000, 0.000], [0.000, 3.768, 0.000], [0.000, 0.000, 3.855]],
  "species": ["Mn", "Mn", "Zn", "H", "Os"],
  "frac_coords": [[0.000, 0.500, 0.000], [0.500, 0.000, 0.000], [0.000, 0.000, 0.500], [0.500, 0.500, 0.000], [0.500, 0.500, 0.500]],
  "crystal_system": "tetragonal",
  "spacegroup": "No. 123"
}

---

Number 1: total magnetization 0.0 μB/f.u., Fermi-level density of states 3.27 states/eV/cell, final energy -5.820 eV/atom. Number 2: total magnetization 6.0 μB/f.u., Fermi-level density of states 3.27 states/eV/cell, final energy -7.278 eV/atom. Number 3: total magnetization 1.9 μB/f.u., Fermi-level density of states 3.39 states/eV/cell, final energy -8.576 eV/atom. Number 4: total magnetization 2.1 μB/f.u., Fermi-level density of states 4.22 states/eV/cell, final energy -8.597 eV/atom. Number 5: total magnetization 2.0 μB/f.u., Fermi-level density of states 3.99 states/eV/cell, final energy -8.812 eV/atom. Number 6: total magnetization 0.0 μB/f.u., Fermi-level density of states 4.71 states/eV/cell, final energy -9.783 eV/atom. Number 7: total magnetization 1.5 μB/f.u., Fermi-level density of states 3.33 states/eV/cell, final energy -9.515 eV/atom. Number 8: total magnetization 5.0 μB/f.u., Fermi-level density of states 3.73 states/eV/cell, final energy -6.700 eV/atom.